DFT (PBE-GGA) results for a relaxed structure of Tc2BIr.

Computed properties:
electronic total energy	-36.99	eV for the cell shown
DFT formation energy	-0.181	eV per atom

Cell lengths 2.746, 2.746, 6.514 Å; angles 90.00, 90.00, 90.00 degrees
Space group P4/mmm (No. 123)
One atom of each set of equivalent atoms:
Tc (0.000, 0.000, 0.200) [2 per cell]
B (0.500, 0.500, 0.000) [1 per cell]
Ir (0.500, 0.500, 0.500) [1 per cell]